(1)
Material: Tl2Pd3S4
Method: DFT, GGA-PBE
State: relaxed

Summary:
The value obtained for the volume is 840.8 Å³/cell. Its electronic total energy is -4.46 eV/atom. The polymorph energy (0 for the lowest one) comes out at 2 meV per atom.

Structure (CIF):
```
data_Tl2Pd3S4
_cell_length_a 6.268
_cell_length_b 10.819
_cell_length_c 12.399
_cell_angle_alpha 90.00
_cell_angle_beta 90.00
_cell_angle_gamma 90.00
_symmetry_space_group_name_H-M 'F m m m'
_symmetry_Int_Tables_number 69
_symmetry_space_group_name_Hall '-F 2 2'
loop_
_atom_site_label
_atom_site_fract_x
_atom_site_fract_y
_atom_site_fract_z
Tl1 0.000 0.000 0.147
Pd1 0.000 0.000 0.500
Pd2 0.250 0.250 0.000
S1 0.000 0.166 0.376
```

---

(2)
Material: HfMg3
Method: DFT, GGA-PBE
State: relaxed

Summary:
The value obtained for the volume is 172.4 Å³/cell. Its electronic total energy is -3.50 eV/atom.

Structure (CIF):
```
data_HfMg3
_cell_length_a 6.2932
_cell_length_b 6.2932
_cell_length_c 5.0262
_cell_angle_alpha 90.00
_cell_angle_beta 90.00
_cell_angle_gamma 120.00
_symmetry_space_group_name_H-M 'P 63/m m c'
_symmetry_Int_Tables_number 194
_symmetry_space_group_name_Hall '-P 6c 2c'
loop_
_atom_site_label
_atom_site_fract_x
_atom_site_fract_y
_atom_site_fract_z
Hf1 0.3333 0.6667 0.2500
Mg1 0.1674 0.3347 0.7500
```

---

(3)
Material: MgAlReMo
Method: DFT, GGA-PBE
State: relaxed

Summary:
The value obtained for the volume is 245.2 Å³/cell. Its electronic total energy is -7.23 eV/atom. The polymorph energy (0 for the lowest one) comes out at 0 meV per atom.

Structure (CIF):
```
data_MgAlReMo
_cell_length_a 6.259
_cell_length_b 6.259
_cell_length_c 6.259
_cell_angle_alpha 90.00
_cell_angle_beta 90.00
_cell_angle_gamma 90.00
_symmetry_space_group_name_H-M 'F -4 3 m'
_symmetry_Int_Tables_number 216
_symmetry_space_group_name_Hall 'F -4 2 3'
loop_
_atom_site_label
_atom_site_fract_x
_atom_site_fract_y
_atom_site_fract_z
Mg1 0.000 0.000 0.000
Al1 0.250 0.250 0.250
Re1 0.000 0.000 0.500
Mo1 0.250 0.250 0.750
```

---

(4)
Material: HfBe2Ni2
Method: DFT, GGA-PBE
State: relaxed

Summary:
The value obtained for the volume is 116.1 Å³/cell. Its electronic total energy is -6.11 eV/atom. The polymorph energy (0 for the lowest one) comes out at 0 meV per atom.

Structure (CIF):
```
data_HfBe2Ni2
_cell_length_a 3.575
_cell_length_b 3.575
_cell_length_c 9.086
_cell_angle_alpha 90.00
_cell_angle_beta 90.00
_cell_angle_gamma 90.00
_symmetry_space_group_name_H-M 'I 4/m m m'
_symmetry_Int_Tables_number 139
_symmetry_space_group_name_Hall '-I 4 2'
loop_
_atom_site_label
_atom_site_fract_x
_atom_site_fract_y
_atom_site_fract_z
Hf1 0.000 0.000 0.000
Be1 0.000 0.000 0.383
Ni1 0.000 0.500 0.250
```

---

(5)
Material: NaTbH2S2O9
Method: DFT, GGA-PBE
State: relaxed

Summary:
The value obtained for the volume is 502.3 Å³/cell. Its electronic total energy is -6.22 eV/atom.

Structure (CIF):
```
data_NaTbH2S2O9
_cell_length_a 6.7837
_cell_length_b 6.7837
_cell_length_c 12.6025
_cell_angle_alpha 90.00
_cell_angle_beta 90.00
_cell_angle_gamma 120.00
_symmetry_space_group_name_H-M 'P 31 2 1'
_symmetry_Int_Tables_number 152
loop_
_symmetry_equiv_pos_as_xyz
'x,y,z'
'-y,x-y,z+1/3'
'-x+y,-x,z+2/3'
'y,x,-z'
'x-y,-y,-z+2/3'
'-x,-x+y,-z+1/3'
loop_
_atom_site_label
_atom_site_fract_x
_atom_site_fract_y
_atom_site_fract_z
Na1 0.0000 0.4646 0.1667
Tb1 0.0000 0.4340 0.6667
H1 0.0469 0.0990 0.3747
S1 0.0116 0.4532 0.9087
O1 0.0000 0.0839 0.6667
O2 0.1292 0.6219 0.3478
O3 0.1307 0.3833 0.4938
O4 0.1317 0.6478 0.8345
O5 0.1707 0.4079 0.9702
```

---

(6)
Material: Hf2BeNi
Method: DFT, GGA-PBE
State: relaxed

Summary:
The value obtained for the volume is 254.3 Å³/cell. Its electronic total energy is -7.00 eV/atom.

Structure (CIF):
```
data_Hf2BeNi
_cell_length_a 6.335
_cell_length_b 6.335
_cell_length_c 6.335
_cell_angle_alpha 90.00
_cell_angle_beta 90.00
_cell_angle_gamma 90.00
_symmetry_space_group_name_H-M 'F -4 3 m'
_symmetry_Int_Tables_number 216
_symmetry_space_group_name_Hall 'F -4 2 3'
loop_
_atom_site_label
_atom_site_fract_x
_atom_site_fract_y
_atom_site_fract_z
Hf1 0.000 0.000 0.000
Hf2 0.250 0.250 0.250
Be1 0.000 0.000 0.500
Ni1 0.250 0.250 0.750
```